Below is ErCd8Hg4 after structural relaxation, with properties calculated at the PBE level.

Properties
ΔE_f: -0.008 eV per atom

abc: 4.276 4.280 17.769
angles: 90.00 90.00 90.00
Space group Pmm2 (No. 25)
One atom of each set of equivalent atoms:
Er 0.000 0.000 0.000 x1
Cd 0.000 0.000 0.172 x1
Cd 0.000 0.000 0.441 x1
Cd 0.000 0.500 0.582 x1
Cd 0.000 0.500 0.865 x1
Cd 0.500 0.000 0.302 x1
Cd 0.500 0.000 0.866 x1
Cd 0.500 0.500 0.436 x1
Cd 0.500 0.500 0.721 x1
Hg 0.000 0.000 0.726 x1
Hg 0.000 0.500 0.292 x1
Hg 0.500 0.000 0.578 x1
Hg 0.500 0.500 0.068 x1



Below is ErTmRuRh after structural relaxation, with properties calculated at the PBE level.

Properties
ΔE_f: -0.713 eV per atom

abc: 6.744 6.744 6.744
angles: 90.00 90.00 90.00
Space group F-43m (No. 216)
One atom of each set of equivalent atoms:
Er 0.000 0.000 0.000 x4
Tm 0.000 0.000 0.500 x4
Ru 0.250 0.250 0.250 x4
Rh 0.250 0.250 0.750 x4



Below is PuPaTeBr after structural relaxation, with properties calculated at the PBE level.

Properties
Formation energy (no corrections): -625 meV/atom

abc: 7.432 7.432 7.432
angles: 90.00 90.00 90.00
Space group F-43m (No. 216)
One atom of each set of equivalent atoms:
Pu 0.000 0.000 0.000 x4
Pa 0.000 0.000 0.500 x4
Te 0.250 0.250 0.250 x4
Br 0.250 0.250 0.750 x4



Below is ScSb2S4 after structural relaxation, with properties calculated at the PBE level.

Properties
Distance to the lowest polymorph of the same formula: 0 meV/atom
Formation energy (no corrections): -662 meV/atom

abc: 3.540 14.442 12.580
angles: 90.00 90.00 90.00
Space group Cmcm (No. 63)
One atom of each set of equivalent atoms:
Sc 0.000 0.111 0.250 x4
Sb 0.000 0.371 0.069 x8
S 0.000 0.000 0.000 x4
S 0.000 0.305 0.624 x8
S 0.000 0.483 0.250 x4



Below is CaTb2Ce3Te6 after structural relaxation, with properties calculated at the PBE level.

Properties
Formation energy (no corrections): -1387 meV/atom

abc: 19.506 4.418 8.981
angles: 90.00 104.32 90.00
Space group C2/m (No. 12)
One atom of each set of equivalent atoms:
Ca 0.000 0.000 0.000 x2
Tb 0.169 0.500 0.339 x4
Ce 0.000 0.000 0.500 x2
Ce 0.166 0.500 0.832 x4
Te 0.004 0.500 0.246 x4
Te 0.165 0.000 0.090 x4
Te 0.168 0.000 0.579 x4



Below is Rb3I2F8 after structural relaxation, with properties calculated at the PBE level.

Properties
Formation energy (no corrections): -1611 meV/atom

abc: 6.7024 6.7024 24.2550
angles: 90.00 90.00 120.00
Space group R-3m (No. 166, hexagonal axes)
One atom of each set of equivalent atoms:
Rb 0.0000 0.0000 0.0000 x3
Rb 0.0000 0.0000 0.1960 x6
I 0.0000 0.0000 0.4199 x6
F 0.0000 0.0000 0.2981 x6
F 0.0275 0.5138 0.7620 x18



Below is TmCoSi2 after structural relaxation, with properties calculated at the PBE level.

Properties
Formation energy (no corrections): -747 meV/atom

abc: 3.8726 3.8726 14.6746
angles: 90.00 90.00 120.00
Space group R-3m (No. 166, hexagonal axes)
One atom of each set of equivalent atoms:
Tm 0.0000 0.0000 0.0000 x3
Co 0.0000 0.0000 0.5000 x3
Si 0.0000 0.0000 0.2091 x6



Below is PrNdEr2Tm4 after structural relaxation, with properties calculated at the PBE level.

Properties
ΔE_f: 0.025 eV per atom

abc: 7.120 7.125 9.927
angles: 89.99 89.93 89.96
Space group P-1 (No. 2)
One atom of each set of equivalent atoms:
Pr 0.000 0.000 0.000 x1
Pr 0.500 0.000 0.000 x1
Nd 0.000 0.000 0.500 x1
Nd 0.000 0.500 0.000 x1
Er 0.000 0.500 0.500 x1
Er 0.500 0.000 0.500 x1
Er 0.500 0.500 0.000 x1
Er 0.500 0.500 0.500 x1
Tm 0.252 0.253 0.253 x2
Tm 0.252 0.253 0.747 x2
Tm 0.252 0.747 0.747 x2
Tm 0.253 0.747 0.253 x2



Total DFT energy (no corrections) (eV for the cell shown)
-13.20, -114.05, -124.57, -142.88, -129.12, -125.75, -76.24, -72.72